Entry 1:
Compound: Tb3Ho3Th
Source: Alexandria
Functional: PBE
Structure: optimized geometry

Summary:
energy relative to the elements = 0.02 eV per atom
total energy = -4.982 eV/atom
excess energy over the best structure of this formula in the dataset = 0.000 eV/f.u.

a = 9.548 Å, b = 9.548 Å, c = 5.680 Å
α = 90.00°, β = 90.00°, γ = 120.00°
Atoms (fractional coordinates):
1 Tb 0.055 0.812 0.250
2 Tb 0.188 0.242 0.250
3 Tb 0.242 0.055 0.750
4 Tb 0.758 0.945 0.250
5 Tb 0.812 0.758 0.750
6 Tb 0.945 0.188 0.750
7 Ho 0.095 0.616 0.750
8 Ho 0.384 0.480 0.750
9 Ho 0.480 0.095 0.250
10 Ho 0.520 0.905 0.750
11 Ho 0.616 0.520 0.250
12 Ho 0.905 0.384 0.250
13 Th 0.333 0.667 0.250
14 Th 0.667 0.333 0.750


Entry 2:
Compound: Pr6HoTe8
Source: Alexandria
Functional: PBE
Structure: optimized geometry

Summary:
E_form (uncorrected) = -1.453 eV/atom
total energy = -5.346 eV/atom

a = 9.018 Å, b = 9.018 Å, c = 9.018 Å
α = 60.00°, β = 60.00°, γ = 60.00°
Atoms (fractional coordinates):
1 Pr 0.000 0.000 0.500
2 Pr 0.000 0.500 0.000
3 Pr 0.000 0.500 0.500
4 Pr 0.500 0.000 0.000
5 Pr 0.500 0.000 0.500
6 Pr 0.500 0.500 0.000
7 Ho 0.000 0.000 0.000
8 Te 0.247 0.247 0.753
9 Te 0.247 0.753 0.247
10 Te 0.247 0.753 0.753
11 Te 0.250 0.250 0.250
12 Te 0.750 0.750 0.750
13 Te 0.753 0.247 0.247
14 Te 0.753 0.247 0.753
15 Te 0.753 0.753 0.247


Entry 3:
Compound: ScAl2Sb
Source: Alexandria
Functional: PBE
Structure: optimized geometry

Summary:
E_form (uncorrected) = 0.010 eV/atom
total energy = -4.475 eV/atom

a = 3.282 Å, b = 3.282 Å, c = 27.698 Å
α = 90.00°, β = 90.00°, γ = 120.00°
Atoms (fractional coordinates):
1 Sc 0.000 0.000 0.000
2 Sc 0.333 0.667 0.667
3 Sc 0.667 0.333 0.333
4 Al 0.000 0.000 0.250
5 Al 0.000 0.000 0.750
6 Al 0.333 0.667 0.417
7 Al 0.333 0.667 0.917
8 Al 0.667 0.333 0.083
9 Al 0.667 0.333 0.583
10 Sb 0.000 0.000 0.500
11 Sb 0.333 0.667 0.167
12 Sb 0.667 0.333 0.833


Entry 4:
Compound: Zr2TeOs
Source: Alexandria
Functional: PBE
Structure: optimized geometry

Summary:
E_form (uncorrected) = -0.293 eV/atom
total energy = -8.160 eV/atom

a = 6.017 Å, b = 7.751 Å, c = 3.425 Å
α = 90.00°, β = 90.22°, γ = 90.00°
Atoms (fractional coordinates):
1 Zr 0.250 0.250 0.000
2 Zr 0.250 0.750 0.000
3 Zr 0.750 0.250 0.000
4 Zr 0.750 0.750 0.000
5 Te 0.000 0.000 0.500
6 Te 0.500 0.500 0.500
7 Os 0.000 0.500 0.500
8 Os 0.500 0.000 0.500


Entry 5:
Compound: Tb2Pm5HoTm
Source: Alexandria
Functional: PBE
Structure: optimized geometry

Summary:
energy relative to the elements = 0.14 eV per atom
total energy = -4.531 eV/atom

a = 10.512 Å, b = 10.512 Å, c = 10.653 Å
α = 90.00°, β = 90.00°, γ = 148.91°
Atoms (fractional coordinates):
1 Tb 0.112 0.888 0.500
2 Tb 0.115 0.885 0.074
3 Tb 0.885 0.115 0.574
4 Tb 0.888 0.112 0.000
5 Pm 0.017 0.983 0.780
6 Pm 0.280 0.720 0.075
7 Pm 0.298 0.702 0.469
8 Pm 0.384 0.616 0.784
9 Pm 0.482 0.518 0.506
10 Pm 0.518 0.482 0.006
11 Pm 0.616 0.384 0.284
12 Pm 0.702 0.298 0.969
13 Pm 0.720 0.280 0.575
14 Pm 0.983 0.017 0.280
15 Ho 0.408 0.592 0.224
16 Ho 0.592 0.408 0.724
17 Tm 0.199 0.801 0.773
18 Tm 0.801 0.199 0.273


Entry 6:
Compound: Tb2Pa2S7
Source: Alexandria
Functional: PBE
Structure: optimized geometry

Summary:
E_form (uncorrected) = -1.821 eV/atom
total energy = -7.016 eV/atom
excess energy over the best structure of this formula in the dataset = 0.000 eV/f.u.

a = 8.459 Å, b = 8.459 Å, c = 8.459 Å
α = 153.44°, β = 67.80°, γ = 118.91°
Atoms (fractional coordinates):
1 Tb 0.000 0.000 0.000
2 Tb 0.541 0.041 0.500
3 Pa 0.064 0.804 0.260
4 Pa 0.544 0.804 0.740
5 S 0.225 0.725 0.500
6 S 0.288 0.104 0.185
7 S 0.351 0.492 0.859
8 S 0.633 0.492 0.141
9 S 0.708 0.320 0.388
10 S 0.919 0.104 0.815
11 S 0.932 0.320 0.612


Entry 7:
Compound: HoCuGe2
Source: Alexandria
Functional: PBE
Structure: optimized geometry

Summary:
energy relative to the elements = -0.40 eV per atom
total energy = -4.872 eV/atom

a = 4.130 Å, b = 4.130 Å, c = 15.132 Å
α = 90.00°, β = 90.00°, γ = 120.00°
Atoms (fractional coordinates):
1 Ho 0.000 0.000 0.000
2 Ho 0.333 0.667 0.667
3 Ho 0.667 0.333 0.333
4 Cu 0.000 0.000 0.500
5 Cu 0.333 0.667 0.167
6 Cu 0.667 0.333 0.833
7 Ge 0.000 0.000 0.222
8 Ge 0.000 0.000 0.778
9 Ge 0.333 0.667 0.445
10 Ge 0.333 0.667 0.888
11 Ge 0.667 0.333 0.112
12 Ge 0.667 0.333 0.555


Entry 8:
Compound: Li2ErAlH8
Source: Alexandria
Functional: PBE
Structure: optimized geometry

Summary:
total energy = -3.514 eV/atom

a = 4.247 Å, b = 4.257 Å, c = 5.817 Å
α = 89.92°, β = 69.26°, γ = 85.86°
Atoms (fractional coordinates):
1 Li 0.133 0.491 0.239
2 Li 0.867 0.509 0.761
3 Er 0.500 0.000 0.500
4 Al 0.000 0.000 0.000
5 H 0.088 0.010 0.285
6 H 0.244 0.292 0.863
7 H 0.278 0.511 0.490
8 H 0.355 0.762 0.857
9 H 0.645 0.238 0.143
10 H 0.722 0.489 0.510
11 H 0.756 0.708 0.137
12 H 0.912 0.990 0.715